A geometry-optimized NdPOsF structure. Source: Alexandria via LeMat-Bulk, functional PBE.

a b c (Å): 4.0306 4.0306 8.2919
angles (deg): 90.00 90.00 90.00
Fractional positions:
Nd1 0.0000 0.5000 0.8098
Nd2 0.5000 0.0000 0.1902
P1 0.5000 0.0000 0.6497
P2 0.0000 0.5000 0.3503
Os1 0.0000 0.0000 0.5000
Os2 0.5000 0.5000 0.5000
F1 0.5000 0.5000 0.0000
F2 0.0000 0.0000 0.0000

Summary:
**DOS(E_F)**: 4.95 states/eV per cell
**E**: -7.703 eV/atom
**Symmetry**: P4/nmm (129)
**Formation energy from raw total energies**: -7.5 eV/f.u.